Entry 1:
{"formula": "ThScTe2", "functional": "PBE-GGA", "state": "relaxed", "e_form_raw_ev_per_atom": -0.9777, "spacegroup": "Fm-3m, No. 225", "polymorph_energy_mev_per_atom": 108, "magnetic_moment_mub_per_atom": 0.000, "lattice_angstrom": [[7.507, 0.000, 0.000], [0.000, 7.507, 0.000], [0.000, 0.000, 7.507]], "species": ["Th", "Th", "Th", "Th", "Sc", "Sc", "Sc", "Sc", "Te", "Te", "Te", "Te", "Te", "Te", "Te", "Te"], "fractional_positions": [[0.000, 0.000, 0.000], [0.000, 0.500, 0.500], [0.500, 0.000, 0.500], [0.500, 0.500, 0.000], [0.000, 0.000, 0.500], [0.000, 0.500, 0.000], [0.500, 0.000, 0.000], [0.500, 0.500, 0.500], [0.250, 0.250, 0.250], [0.250, 0.250, 0.750], [0.250, 0.750, 0.250], [0.250, 0.750, 0.750], [0.750, 0.250, 0.250], [0.750, 0.250, 0.750], [0.750, 0.750, 0.250], [0.750, 0.750, 0.750]]}

Entry 2:
{"formula": "Tc2HRu", "functional": "PBE-GGA", "state": "relaxed", "spacegroup": "I-42d, No. 122", "polymorph_energy_mev_per_atom": 297, "magnetic_moment_mub_per_atom": 0.000, "lattice_angstrom": [[6.080, 0.000, 0.000], [0.000, 6.080, 0.000], [0.000, 0.000, 5.067]], "species": ["Tc", "Tc", "Tc", "Tc", "Tc", "Tc", "Tc", "Tc", "H", "H", "H", "H", "Ru", "Ru", "Ru", "Ru"], "fractional_positions": [[0.156, 0.250, 0.125], [0.250, 0.656, 0.375], [0.250, 0.844, 0.875], [0.344, 0.250, 0.625], [0.656, 0.750, 0.625], [0.750, 0.156, 0.875], [0.750, 0.344, 0.375], [0.844, 0.750, 0.125], [0.000, 0.000, 0.000], [0.000, 0.500, 0.250], [0.500, 0.000, 0.750], [0.500, 0.500, 0.500], [0.000, 0.000, 0.500], [0.000, 0.500, 0.750], [0.500, 0.000, 0.250], [0.500, 0.500, 0.000]]}

Entry 3:
{"formula": "ScAlCl2", "functional": "PBE-GGA", "state": "relaxed", "e_form_raw_ev_per_atom": -0.6043, "spacegroup": "I-4m2, No. 119", "polymorph_energy_mev_per_atom": 427, "magnetic_moment_mub_per_atom": 0.000, "lattice_angstrom": [[3.843, 0.000, 0.000], [0.000, 3.843, 0.000], [0.000, 0.000, 11.256]], "species": ["Sc", "Sc", "Al", "Al", "Cl", "Cl", "Cl", "Cl"], "fractional_positions": [[0.000, 0.000, 0.000], [0.500, 0.500, 0.500], [0.000, 0.500, 0.750], [0.500, 0.000, 0.250], [0.000, 0.000, 0.500], [0.000, 0.500, 0.250], [0.500, 0.000, 0.750], [0.500, 0.500, 0.000]]}

Entry 4:
{"formula": "HoNi2Ge3", "functional": "PBE-GGA", "state": "relaxed", "spacegroup": "C2/m, No. 12", "formation_enthalpy_0k_ev_per_atom": -0.4441, "polymorph_energy_mev_per_atom": 0, "magnetic_moment_mub_per_atom": 0.000, "lattice_angstrom": [[7.213, -2.015, 0.000], [7.213, 2.015, 0.000], [-2.846, 0.000, 6.864]], "species": ["Ho", "Ho", "Ni", "Ni", "Ni", "Ni", "Ge", "Ge", "Ge", "Ge", "Ge", "Ge"], "fractional_positions": [[0.144, 0.144, 0.097], [0.856, 0.856, 0.903], [0.170, 0.170, 0.632], [0.487, 0.487, 0.829], [0.513, 0.513, 0.171], [0.830, 0.830, 0.368], [0.005, 0.005, 0.335], [0.325, 0.325, 0.564], [0.357, 0.357, 0.203], [0.643, 0.643, 0.797], [0.675, 0.675, 0.436], [0.995, 0.995, 0.665]]}

Entry 5:
{"formula": "SrEuAlO4", "functional": "PBE-GGA", "state": "relaxed", "e_form_raw_ev_per_atom": -2.8700, "spacegroup": "I4mm, No. 107", "magnetic_moment_mub_per_atom": 0.857, "lattice_angstrom": [[3.766, 0.000, 0.000], [0.000, 3.766, 0.000], [0.000, 0.000, 12.414]], "species": ["Sr", "Sr", "Eu", "Eu", "Al", "Al", "O", "O", "O", "O", "O", "O", "O", "O"], "fractional_positions": [[0.000, 0.000, 0.000], [0.500, 0.500, 0.500], [0.000, 0.000, 0.715], [0.500, 0.500, 0.215], [0.000, 0.000, 0.357], [0.500, 0.500, 0.857], [0.000, 0.000, 0.196], [0.000, 0.000, 0.520], [0.000, 0.500, 0.350], [0.000, 0.500, 0.850], [0.500, 0.000, 0.350], [0.500, 0.000, 0.850], [0.500, 0.500, 0.020], [0.500, 0.500, 0.696]]}

Entry 6:
{"formula": "MnAuSN2", "functional": "PBE-GGA", "state": "relaxed", "e_form_raw_ev_per_atom": 0.6654, "spacegroup": "P4/mmm, No. 123", "polymorph_energy_mev_per_atom": 0, "magnetic_moment_mub_per_atom": 0.029, "lattice_angstrom": [[3.574, 0.000, 0.000], [0.000, 3.574, 0.000], [0.000, 0.000, 5.361]], "species": ["Mn", "Au", "S", "N", "N"], "fractional_positions": [[0.000, 0.000, 0.000], [0.500, 0.500, 0.500], [0.000, 0.000, 0.500], [0.000, 0.500, 0.000], [0.500, 0.000, 0.000]]}

Entry 7:
{"formula": "PmPr2SiN4", "functional": "PBE-GGA", "state": "relaxed", "e_form_raw_ev_per_atom": -1.0607, "spacegroup": "Cmcm, No. 63", "magnetic_moment_mub_per_atom": 0.000, "lattice_angstrom": [[1.741, -5.885, 0.000], [1.741, 5.885, 0.000], [0.000, 0.000, 12.267]], "species": ["Pm", "Pm", "Pr", "Pr", "Pr", "Pr", "Si", "Si", "N", "N", "N", "N", "N", "N", "N", "N"], "fractional_positions": [[0.096, 0.904, 0.750], [0.904, 0.096, 0.250], [0.367, 0.633, 0.543], [0.367, 0.633, 0.957], [0.633, 0.367, 0.043], [0.633, 0.367, 0.457], [0.182, 0.818, 0.250], [0.818, 0.182, 0.750], [0.000, 0.000, 0.000], [0.000, 0.000, 0.500], [0.277, 0.723, 0.140], [0.277, 0.723, 0.360], [0.402, 0.598, 0.750], [0.598, 0.402, 0.250], [0.723, 0.277, 0.640], [0.723, 0.277, 0.860]]}

Entry 8:
{"formula": "Cs4Cd3AgBr12", "functional": "PBE-GGA", "state": "relaxed", "e_form_raw_ev_per_atom": -1.1300, "spacegroup": "Im-3m, No. 229", "magnetic_moment_mub_per_atom": 0.000, "lattice_angstrom": [[-5.589, 5.589, 5.589], [5.589, -5.589, 5.589], [5.589, 5.589, -5.589]], "species": ["Cs", "Cs", "Cs", "Cs", "Cd", "Cd", "Cd", "Ag", "Br", "Br", "Br", "Br", "Br", "Br", "Br", "Br", "Br", "Br", "Br", "Br"], "fractional_positions": [[0.000, 0.000, 0.500], [0.000, 0.500, 0.000], [0.500, 0.000, 0.000], [0.500, 0.500, 0.500], [0.000, 0.500, 0.500], [0.500, 0.000, 0.500], [0.500, 0.500, 0.000], [0.000, 0.000, 0.000], [0.000, 0.251, 0.251], [0.000, 0.749, 0.749], [0.250, 0.500, 0.750], [0.250, 0.750, 0.500], [0.251, 0.000, 0.251], [0.251, 0.251, 0.000], [0.500, 0.250, 0.750], [0.500, 0.750, 0.250], [0.749, 0.000, 0.749], [0.749, 0.749, 0.000], [0.750, 0.250, 0.500], [0.750, 0.500, 0.250]]}